Below is Ba2GaAg2 after structural relaxation, with properties calculated at the PBE level.

Results
Offset from the most stable computed form ... 8.6 kJ/mol of atoms
Magnetization ... 0.00 μB/atom
E_form ... -196 meV per atom

a b c (Å): 8.3974 8.3974 4.5922
angles (deg): 90.00 90.00 90.00
Positions (direct):
Ba: 0.1839 0.3161 0.0000
Ba: 0.3161 0.8161 0.0000
Ba: 0.6839 0.1839 0.0000
Ba: 0.8161 0.6839 0.0000
Ga: 0.0000 0.0000 0.5000
Ga: 0.5000 0.5000 0.5000
Ag: 0.1190 0.6190 0.5000
Ag: 0.3810 0.1190 0.5000
Ag: 0.6190 0.8810 0.5000
Ag: 0.8810 0.3810 0.5000